# GdMoClO4

Crystalline GdMoClO4 at its relaxed geometry (GGA+U, the Alexandria database).

a b c (Å): 6.388 6.388 6.995
angles (deg): 76.14 76.14 71.06
Each line ends with the local moment (μB).
Positions (direct):
O: 0.887 0.510 0.847  0.00
O: 0.490 0.113 0.153  0.00
O: 0.293 0.293 0.532  0.00
O: 0.510 0.887 0.847  0.00
O: 0.541 0.541 0.204  0.00
O: 0.459 0.459 0.796  0.00
O: 0.707 0.707 0.468  0.00
O: 0.113 0.490 0.153  0.00
Gd: 0.778 0.778 0.115  6.93
Gd: 0.222 0.222 0.885  6.93
Cl: 0.989 0.989 0.768  -0.01
Cl: 0.011 0.011 0.232  -0.01
Mo: 0.362 0.362 0.268  0.01
Mo: 0.638 0.638 0.732  0.01

Properties
The space group is No. 12. The total magnetic moment comes out at 14.0 Bohr magnetons per cell. The total energy comes out at -117.37 eV for the cell shown.